(1)
The following is a GGA-PBE calculation of an optimized crystal structure of Zn2Cu, from Alexandria.

Output
energy: -6.15 eV/f.u.
space-group type: P4_2/mnm
crystal system: tetragonal
formation energy from the elements: 0.16 eV per atom

Cell and atoms, written as CIF:
```
data_Zn2Cu
_chemical_formula_sum 'Zn4 Cu2'
_space_group_name_H-M_alt 'P 1'
_space_group_IT_number 1
_cell_length_a 6.486
_cell_length_b 6.486
_cell_length_c 2.533
_cell_angle_alpha 90.00
_cell_angle_beta 90.00
_cell_angle_gamma 90.00
loop_
_space_group_symop_operation_xyz
'x,y,z'
loop_
_atom_site_label
_atom_site_fract_x
_atom_site_fract_y
_atom_site_fract_z
_atom_site_occupancy
Zn1 0.765 0.765 0.000 1
Zn2 0.235 0.235 0.000 1
Zn3 0.265 0.735 0.500 1
Zn4 0.735 0.265 0.500 1
Cu1 0.500 0.500 0.000 1
Cu2 0.000 0.000 0.500 1
```



(2)
The following is a GGA-PBE calculation of an optimized crystal structure of Zn2Cu, from Alexandria.

Output
energy: -6.81 eV/f.u.
space-group type: R-3m
crystal system: trigonal
formation energy from the elements: -0.06 eV per atom

Cell and atoms, written as CIF:
```
data_Zn2Cu
_chemical_formula_sum 'Zn2 Cu1'
_space_group_name_H-M_alt 'P 1'
_space_group_IT_number 1
_cell_length_a 6.514
_cell_length_b 6.514
_cell_length_c 6.514
_cell_angle_alpha 24.30
_cell_angle_beta 24.30
_cell_angle_gamma 24.30
loop_
_space_group_symop_operation_xyz
'x,y,z'
loop_
_atom_site_label
_atom_site_fract_x
_atom_site_fract_y
_atom_site_fract_z
_atom_site_occupancy
Zn1 0.226 0.226 0.226 1
Zn2 0.774 0.774 0.774 1
Cu1 0.000 0.000 0.000 1
```



(3)
The following is a GGA-PBE calculation of an optimized crystal structure of ZnCu2, from Alexandria.

Output
energy: -9.68 eV/f.u.
space-group type: I4_1/amd
crystal system: tetragonal
formation energy from the elements: -0.07 eV per atom

Cell and atoms, written as CIF:
```
data_ZnCu2
_chemical_formula_sum 'Zn4 Cu8'
_space_group_name_H-M_alt 'P 1'
_space_group_IT_number 1
_cell_length_a 3.644
_cell_length_b 3.644
_cell_length_c 11.704
_cell_angle_alpha 98.95
_cell_angle_beta 98.95
_cell_angle_gamma 90.00
loop_
_space_group_symop_operation_xyz
'x,y,z'
loop_
_atom_site_label
_atom_site_fract_x
_atom_site_fract_y
_atom_site_fract_z
_atom_site_occupancy
Cu1 0.250 0.250 0.501 1
Cu2 0.750 0.750 0.499 1
Cu3 0.500 0.000 0.001 1
Cu4 0.000 0.500 0.999 1
Cu5 0.417 0.417 0.835 1
Cu6 0.583 0.583 0.165 1
Cu7 0.667 0.167 0.335 1
Cu8 0.833 0.333 0.665 1
Zn1 0.081 0.081 0.162 1
Zn2 0.919 0.919 0.838 1
Zn3 0.331 0.831 0.662 1
Zn4 0.169 0.669 0.338 1
```



(4)
The following is a GGA-PBE calculation of an optimized crystal structure of Zn2Cu5, from Alexandria.

Output
energy: -23.49 eV/f.u.
space-group type: C2/c
crystal system: monoclinic
formation energy from the elements: -0.07 eV per atom
polymorph energy (0 for the lowest one): 0.000 eV/atom

Cell and atoms, written as CIF:
```
data_Zn2Cu5
_chemical_formula_sum 'Zn4 Cu10'
_space_group_name_H-M_alt 'P 1'
_space_group_IT_number 1
_cell_length_a 4.429
_cell_length_b 6.779
_cell_length_c 6.254
_cell_angle_alpha 93.29
_cell_angle_beta 110.74
_cell_angle_gamma 90.00
loop_
_space_group_symop_operation_xyz
'x,y,z'
loop_
_atom_site_label
_atom_site_fract_x
_atom_site_fract_y
_atom_site_fract_z
_atom_site_occupancy
Zn1 0.247 0.394 0.849 1
Zn2 0.398 0.106 0.151 1
Zn3 0.753 0.606 0.151 1
Zn4 0.602 0.894 0.849 1
Cu1 0.318 0.465 0.288 1
Cu2 0.029 0.035 0.712 1
Cu3 0.110 0.681 0.571 1
Cu4 0.539 0.819 0.429 1
Cu5 0.890 0.319 0.429 1
Cu6 0.461 0.181 0.571 1
Cu7 0.971 0.965 0.288 1
Cu8 0.682 0.535 0.712 1
Cu9 0.826 0.250 0.000 1
Cu10 0.174 0.750 0.000 1
```



(5)
The following is a GGA-PBE calculation of an optimized crystal structure of Zn2Cu, from Alexandria.

Output
energy: -6.43 eV/f.u.
space-group type: P4/nmm
crystal system: tetragonal
formation energy from the elements: 0.07 eV per atom

Cell and atoms, written as CIF:
```
data_Zn2Cu
_chemical_formula_sum 'Zn4 Cu2'
_space_group_name_H-M_alt 'P 1'
_space_group_IT_number 1
_cell_length_a 3.710
_cell_length_b 3.710
_cell_length_c 6.432
_cell_angle_alpha 90.00
_cell_angle_beta 90.00
_cell_angle_gamma 90.00
loop_
_space_group_symop_operation_xyz
'x,y,z'
loop_
_atom_site_label
_atom_site_fract_x
_atom_site_fract_y
_atom_site_fract_z
_atom_site_occupancy
Zn1 0.000 0.000 0.000 1
Zn2 0.500 0.500 0.000 1
Zn3 0.500 0.000 0.334 1
Zn4 0.000 0.500 0.666 1
Cu1 0.500 0.000 0.719 1
Cu2 0.000 0.500 0.281 1
```



(6)
The following is a GGA-PBE calculation of an optimized crystal structure of ZnCu2, from Alexandria.

Output
energy: -9.53 eV/f.u.
space-group type: Cmcm
crystal system: orthorhombic
formation energy from the elements: -0.02 eV per atom

Cell and atoms, written as CIF:
```
data_ZnCu2
_chemical_formula_sum 'Zn2 Cu4'
_space_group_name_H-M_alt 'P 1'
_space_group_IT_number 1
_cell_length_a 2.587
_cell_length_b 2.587
_cell_length_c 12.565
_cell_angle_alpha 90.00
_cell_angle_beta 90.00
_cell_angle_gamma 115.09
loop_
_space_group_symop_operation_xyz
'x,y,z'
loop_
_atom_site_label
_atom_site_fract_x
_atom_site_fract_y
_atom_site_fract_z
_atom_site_occupancy
Zn1 0.560 0.440 0.750 1
Zn2 0.440 0.560 0.250 1
Cu1 0.186 0.814 0.919 1
Cu2 0.814 0.186 0.419 1
Cu3 0.814 0.186 0.081 1
Cu4 0.186 0.814 0.581 1
```



(7)
The following is a GGA-PBE calculation of an optimized crystal structure of Zn2Cu, from Alexandria.

Output
energy: -6.53 eV/f.u.
space-group type: P6_3/mmc
crystal system: hexagonal
formation energy from the elements: 0.04 eV per atom

Cell and atoms, written as CIF:
```
data_Zn2Cu
_chemical_formula_sum 'Zn4 Cu2'
_space_group_name_H-M_alt 'P 1'
_space_group_IT_number 1
_cell_length_a 2.664
_cell_length_b 2.664
_cell_length_c 14.026
_cell_angle_alpha 90.00
_cell_angle_beta 90.00
_cell_angle_gamma 120.00
loop_
_space_group_symop_operation_xyz
'x,y,z'
loop_
_atom_site_label
_atom_site_fract_x
_atom_site_fract_y
_atom_site_fract_z
_atom_site_occupancy
Zn1 0.000 0.000 0.903 1
Zn2 0.000 0.000 0.403 1
Zn3 0.000 0.000 0.097 1
Zn4 0.000 0.000 0.597 1
Cu1 0.667 0.333 0.750 1
Cu2 0.333 0.667 0.250 1
```



(8)
The following is a GGA-PBE calculation of an optimized crystal structure of ZnCu5, from Alexandria.

Output
energy: -21.92 eV/f.u.
space-group type: P4/mmm
crystal system: tetragonal
formation energy from the elements: -0.03 eV per atom

Cell and atoms, written as CIF:
```
data_ZnCu5
_chemical_formula_sum 'Zn1 Cu5'
_space_group_name_H-M_alt 'P 1'
_space_group_IT_number 1
_cell_length_a 2.623
_cell_length_b 2.623
_cell_length_c 10.712
_cell_angle_alpha 90.00
_cell_angle_beta 90.00
_cell_angle_gamma 90.00
loop_
_space_group_symop_operation_xyz
'x,y,z'
loop_
_atom_site_label
_atom_site_fract_x
_atom_site_fract_y
_atom_site_fract_z
_atom_site_occupancy
Cu1 0.000 0.000 0.828 1
Cu2 0.000 0.000 0.172 1
Cu3 0.500 0.500 0.664 1
Cu4 0.500 0.500 0.336 1
Cu5 0.000 0.000 0.500 1
Zn1 0.500 0.500 0.000 1
```



(9)
The following is a GGA-PBE calculation of an optimized crystal structure of Zn4Cu5, from Alexandria.

Output
energy: -26.05 eV/f.u.
space-group type: P6_3/mcm
crystal system: hexagonal
formation energy from the elements: -0.05 eV per atom
polymorph energy (0 for the lowest one): 0.020 eV/atom

Cell and atoms, written as CIF:
```
data_Zn4Cu5
_chemical_formula_sum 'Zn8 Cu10'
_space_group_name_H-M_alt 'P 1'
_space_group_IT_number 1
_cell_length_a 7.287
_cell_length_b 7.287
_cell_length_c 5.111
_cell_angle_alpha 90.00
_cell_angle_beta 90.00
_cell_angle_gamma 60.00
loop_
_space_group_symop_operation_xyz
'x,y,z'
loop_
_atom_site_label
_atom_site_fract_x
_atom_site_fract_y
_atom_site_fract_z
_atom_site_occupancy
Cu1 0.309 0.691 0.250 1
Cu2 0.000 0.309 0.250 1
Cu3 0.691 0.000 0.250 1
Cu4 0.691 0.309 0.750 1
Cu5 0.000 0.691 0.750 1
Cu6 0.309 0.000 0.750 1
Cu7 0.333 0.333 0.000 1
Cu8 0.667 0.667 0.500 1
Cu9 0.667 0.667 0.000 1
Cu10 0.333 0.333 0.500 1
Zn1 0.000 0.000 0.000 1
Zn2 0.000 0.000 0.500 1
Zn3 0.638 0.362 0.250 1
Zn4 0.000 0.638 0.250 1
Zn5 0.362 0.000 0.250 1
Zn6 0.362 0.638 0.750 1
Zn7 0.000 0.362 0.750 1
Zn8 0.638 0.000 0.750 1
```



(10)
The following is a GGA-PBE calculation of an optimized crystal structure of ZnCu5, from Alexandria.

Output
energy: -21.02 eV/f.u.
space-group type: P6/mmm
crystal system: hexagonal
formation energy from the elements: 0.12 eV per atom

Cell and atoms, written as CIF:
```
data_ZnCu5
_chemical_formula_sum 'Zn1 Cu5'
_space_group_name_H-M_alt 'P 1'
_space_group_IT_number 1
_cell_length_a 4.766
_cell_length_b 4.766
_cell_length_c 4.172
_cell_angle_alpha 90.00
_cell_angle_beta 90.00
_cell_angle_gamma 120.00
loop_
_space_group_symop_operation_xyz
'x,y,z'
loop_
_atom_site_label
_atom_site_fract_x
_atom_site_fract_y
_atom_site_fract_z
_atom_site_occupancy
Zn1 0.000 0.000 0.000 1
Cu1 0.333 0.667 0.000 1
Cu2 0.667 0.333 0.000 1
Cu3 0.500 0.000 0.500 1
Cu4 0.000 0.500 0.500 1
Cu5 0.500 0.500 0.500 1
```



(11)
The following is a GGA-PBE calculation of an optimized crystal structure of Zn4Cu3, from Alexandria.

Output
energy: -14.15 eV/f.u.
space-group type: P-43m
crystal system: cubic
formation energy from the elements: 0.46 eV per atom
polymorph energy (0 for the lowest one): 0.513 eV/atom

Cell and atoms, written as CIF:
```
data_Zn4Cu3
_chemical_formula_sum 'Zn4 Cu3'
_space_group_name_H-M_alt 'P 1'
_space_group_IT_number 1
_cell_length_a 5.016
_cell_length_b 5.016
_cell_length_c 5.016
_cell_angle_alpha 90.00
_cell_angle_beta 90.00
_cell_angle_gamma 90.00
loop_
_space_group_symop_operation_xyz
'x,y,z'
loop_
_atom_site_label
_atom_site_fract_x
_atom_site_fract_y
_atom_site_fract_z
_atom_site_occupancy
Zn1 0.184 0.816 0.184 1
Zn2 0.816 0.184 0.184 1
Zn3 0.816 0.816 0.816 1
Zn4 0.184 0.184 0.816 1
Cu1 0.500 0.000 0.500 1
Cu2 0.500 0.500 0.000 1
Cu3 0.000 0.500 0.500 1
```



(12)
The following is a GGA-PBE calculation of an optimized crystal structure of Zn2Cu, from Alexandria.

Output
energy: -6.24 eV/f.u.
space-group type: P-31m
crystal system: trigonal
formation energy from the elements: 0.13 eV per atom

Cell and atoms, written as CIF:
```
data_Zn2Cu
_chemical_formula_sum 'Zn6 Cu3'
_space_group_name_H-M_alt 'P 1'
_space_group_IT_number 1
_cell_length_a 5.041
_cell_length_b 5.041
_cell_length_c 6.676
_cell_angle_alpha 90.00
_cell_angle_beta 90.00
_cell_angle_gamma 120.00
loop_
_space_group_symop_operation_xyz
'x,y,z'
loop_
_atom_site_label
_atom_site_fract_x
_atom_site_fract_y
_atom_site_fract_z
_atom_site_occupancy
Zn1 0.436 0.436 0.806 1
Zn2 0.564 0.000 0.806 1
Zn3 0.000 0.564 0.806 1
Zn4 0.000 0.436 0.194 1
Zn5 0.436 0.000 0.194 1
Zn6 0.564 0.564 0.194 1
Cu1 0.000 0.000 0.000 1
Cu2 0.333 0.667 0.500 1
Cu3 0.667 0.333 0.500 1
```